This record from Alexandria describes TiS2N2 after structural relaxation. The functional is PBEsol.

The calculation puts the total energy at -6.246 eV/atom. The volume is 14.6 Å³/atom. For the size of the total moment, the calculation gives 0.0 Bohr magnetons per cell. The value obtained for the mass density is 3.17 g/cm³. For the uncorrected formation energy, the calculation gives 2.91 eV per formula unit. The value obtained for the excess energy over the best structure of this formula in the dataset is 0.000 eV per atom. As for the crystal system: tetragonal.

The space group is P4/mmm (No. 123) and the conventional cell measures 3.750, 3.750 and 5.208 Å, with angles of 90.00, 90.00 and 90.00 degrees. The asymmetric unit holds Ti at (0.000, 0.000, 0.000), S at (0.000, 0.000, 0.500), S at (0.500, 0.500, 0.500) and N at (0.000, 0.500, 0.000).


This record from Alexandria describes Ti2SN2 after structural relaxation. The functional is PBEsol.

The calculation puts the total energy at -9.105 eV/atom. The volume is 11.9 Å³/atom. For the size of the total moment, the calculation gives 0.0 Bohr magnetons per cell. The value obtained for the mass density is 4.36 g/cm³. For the uncorrected formation energy, the calculation gives -7.44 eV per formula unit. As for the crystal system: trigonal.

The space group is P-3m1 (No. 164) and the conventional cell measures 3.3592, 3.3592 and 6.0749 Å, with angles of 90.00, 90.00 and 120.00 degrees. The asymmetric unit holds Ti at (0.3333, 0.6667, 0.1998), S at (0.0000, 0.0000, 0.5000) and N at (0.3333, 0.6667, 0.8638).


This record from Alexandria describes TiS2N2 after structural relaxation. The functional is PBEsol.

The calculation puts the total energy at -5.750 eV/atom. The volume is 16.8 Å³/atom. For the size of the total moment, the calculation gives 0.3 Bohr magnetons per cell. The value obtained for the mass density is 2.77 g/cm³. For the uncorrected formation energy, the calculation gives 5.40 eV per formula unit. The value obtained for the excess energy over the best structure of this formula in the dataset is 0.497 eV per atom. As for the crystal system: tetragonal.

The space group is P4/mmm (No. 123) and the conventional cell measures 4.673, 4.673 and 3.838 Å, with angles of 90.00, 90.00 and 90.00 degrees. The asymmetric unit holds Ti at (0.000, 0.000, 0.000), S at (0.000, 0.500, 0.000), N at (0.000, 0.000, 0.500) and N at (0.500, 0.500, 0.500).


This record from Alexandria describes Ti2SN2 after structural relaxation. The functional is PBEsol.

The calculation puts the total energy at -8.815 eV/atom. The volume is 12.6 Å³/atom. For the size of the total moment, the calculation gives 0.0 Bohr magnetons per cell. The value obtained for the mass density is 4.12 g/cm³. For the uncorrected formation energy, the calculation gives -5.99 eV per formula unit. As for the crystal system: tetragonal.

The space group is I4/mmm (No. 139) and the conventional cell measures 3.429, 3.429 and 10.688 Å, with angles of 90.00, 90.00 and 90.00 degrees. The asymmetric unit holds Ti at (0.000, 0.000, 0.160), S at (0.000, 0.000, 0.500) and N at (0.000, 0.500, 0.250).